# 1
A crystal of MnAlNi2Pt relaxed with PBEsol, computed with SCAN.

Cell: 4.0816 4.0816 4.3444 Å, 90.00 90.00 90.00°
Last column: nearest neighbours and their distance in Å.
Positions (direct):
Ni1 0.5000 0.0000 0.0000  2 Mn 2.04
Al1 0.0000 0.0000 0.5000  2 Mn 2.17
Ni2 0.0000 0.5000 0.0000  2 Mn 2.04
Pt1 0.5000 0.5000 0.5000  4 Al 2.89, 8 Ni 2.98
Mn1 0.0000 0.0000 0.0000  4 Ni 2.04, 2 Al 2.17

Output
* DFT formation energy: 4.53 eV/f.u.
* total moment: 0.00 μB/f.u.
* Fermi-level density of states: 3.5 states/eV per cell



# 2
A crystal of Zr2MnAlNi relaxed with PBEsol, computed with SCAN.

Cell: 4.4008 4.7406 4.7406 Å, 90.00 90.00 90.00°
Last column: nearest neighbours and their distance in Å.
Positions (direct):
Zr1 0.0000 0.0000 0.5000  2 Ni 2.37
Mn1 0.5000 0.5000 0.5000  8 Zr 3.23, 4 Al 3.35
Ni1 0.0000 0.0000 0.0000  2 Al 2.20, 4 Zr 2.37
Zr2 0.0000 0.5000 0.0000  2 Ni 2.37
Al1 0.5000 0.0000 0.0000  2 Ni 2.20

Output
* DFT formation energy: 0.34 eV/f.u.
* total moment: 4.25 μB/f.u.
* Fermi-level density of states: 5.5 states/eV per cell



# 3
A crystal of MnAlO2 relaxed with PBEsol, computed with SCAN.

Cell: 2.8607 2.8607 6.0253 Å, 76.27 76.27 60.00°
Last column: nearest neighbours and their distance in Å.
Positions (direct):
O1 0.8888 0.8888 0.3336  3 Al 1.91, 1 Mn 1.93
O2 0.1112 0.1112 0.6664  3 Al 1.91, 1 Mn 1.93
Mn1 0.0000 0.0000 0.0000  2 O 1.93
Al1 0.5000 0.5000 0.5000  6 O 1.91

Output
* total moment: 4.00 μB/f.u.
* final energy: -12.1279 eV per atom
* Fermi-level density of states: 0.3 states/eV per cell



# 4
A crystal of MnAl2O4 relaxed with PBEsol, computed with SCAN.

Cell: 5.7934 5.7934 5.7934 Å, 60.00 60.00 60.00°
Last column: nearest neighbours and their distance in Å.
Positions (direct):
Al1 0.6250 0.6250 0.6250  6 O 1.93
O1 0.4224 0.8592 0.8592  3 Al 1.93, 1 Mn 2.00
O2 0.8276 0.3908 0.3908  3 Al 1.93, 1 Mn 2.00
O3 0.3908 0.3908 0.8276  3 Al 1.93, 1 Mn 2.00
O4 0.8592 0.8592 0.4224  3 Al 1.93, 1 Mn 2.00
Mn1 0.0000 0.0000 0.0000  4 O 2.00
O5 0.8592 0.8592 0.8592  3 Al 1.93, 1 Mn 2.00
Mn2 0.2500 0.2500 0.2500  4 O 2.00
O6 0.3908 0.8276 0.3908  3 Al 1.93, 1 Mn 2.00
O7 0.8592 0.4224 0.8592  3 Al 1.93, 1 Mn 2.00
Al2 0.6250 0.6250 0.1250  6 O 1.93
Al3 0.1250 0.6250 0.6250  6 O 1.93
Al4 0.6250 0.1250 0.6250  6 O 1.93
O8 0.3908 0.3908 0.3908  3 Al 1.93, 1 Mn 2.00

Output
* total moment: 5.00 μB/f.u.
* final energy: -11.3809 eV per atom
* Fermi-level density of states: 0.0 states/eV per cell



# 5
A crystal of MnAl2Sb2P6O24 relaxed with PBEsol, computed with SCAN.

Cell: 8.4935 8.4911 11.9995 Å, 89.86 90.00 90.00°
Last column: nearest neighbours and their distance in Å.
Positions (direct):
O1 0.5686 0.2435 0.9890  1 P 1.54
O2 0.6031 0.4182 0.1554  1 P 1.54
Al1 0.5010 0.7869 0.8613  6 O 1.84-1.96
O3 0.5990 0.2256 0.7891  1 P 1.56
O4 0.0999 0.4728 0.4064  1 P 1.55
O5 0.9010 0.7256 0.7891  1 P 1.56
O6 0.6958 0.8781 0.3090  1 P 1.55
O7 0.3969 0.5818 0.8446  1 P 1.54
O8 0.3300 0.3497 0.0890  1 P 1.55
O9 0.0686 0.2565 0.0110  1 P 1.54
Al2 0.4990 0.2131 0.1387  6 O 1.84-1.96
O10 0.3196 0.6510 0.4053  1 P 1.55
O11 0.3150 0.8834 0.8209  1 P 1.50
P1 0.7888 0.0015 0.2397  4 O 1.50-1.56
O12 0.8935 0.0771 0.3315  1 P 1.56
O13 0.1017 0.5301 0.0989  1 P 1.51
O14 0.8150 0.6166 0.1791  1 P 1.50
O15 0.3042 0.1219 0.6910  1 P 1.55
O16 0.5999 0.0272 0.5936  1 P 1.55
O17 0.6065 0.5771 0.3315  1 P 1.56
Sb1 0.5003 0.7767 0.3578  6 O 1.95-1.96
P2 0.1487 0.3590 0.1005  4 O 1.51-1.56
O18 0.6700 0.6503 0.9110  1 P 1.55
O19 0.6850 0.1166 0.1791  1 P 1.50
P3 0.2112 0.9985 0.7603  4 O 1.50-1.56
Sb2 0.0003 0.7233 0.6422  6 O 1.95-1.96
P4 0.6487 0.1410 0.8995  4 O 1.51-1.56
O20 0.6017 0.9699 0.9011  1 P 1.51
Mn1 0.0000 0.0000 0.0000  6 O 2.17-2.26
O21 0.5797 0.7832 0.7176  1 P 1.50
O22 0.0797 0.7168 0.2824  1 P 1.50
P5 0.8611 0.3505 0.6100  4 O 1.50-1.55
P6 0.3611 0.1495 0.3900  4 O 1.50-1.55
O23 0.4314 0.7565 0.0110  1 P 1.54
P7 0.8513 0.6410 0.8995  4 O 1.51-1.56
O24 0.6804 0.3490 0.5947  1 P 1.55
Sb3 0.4997 0.2233 0.6422  6 O 1.95-1.96
P8 0.3513 0.8590 0.1005  4 O 1.51-1.56
Sb4 0.9997 0.2767 0.3578  6 O 1.95-1.96
O25 0.1804 0.1510 0.4053  1 P 1.55
O26 0.1958 0.6219 0.6910  1 P 1.55
O27 0.8042 0.3781 0.3090  1 P 1.55
O28 0.4001 0.9728 0.4064  1 P 1.55
Al3 0.9990 0.2869 0.8613  6 O 1.84-1.96
O29 0.0680 0.7467 0.4867  1 P 1.55
O30 0.9314 0.7435 0.9890  1 P 1.54
P9 0.2888 0.4985 0.7603  4 O 1.50-1.56
O31 0.1065 0.9229 0.6685  1 P 1.56
O32 0.9203 0.2832 0.7176  1 P 1.50
O33 0.8300 0.1503 0.9110  1 P 1.55
O34 0.9001 0.5272 0.5936  1 P 1.55
O35 0.8983 0.4699 0.9011  1 P 1.51
O36 0.4010 0.7744 0.2109  1 P 1.56
O37 0.8196 0.8490 0.5947  1 P 1.55
O38 0.1850 0.3834 0.8209  1 P 1.50
P10 0.1389 0.6495 0.3900  4 O 1.50-1.55
O39 0.3983 0.0301 0.0989  1 P 1.51
Al4 0.0010 0.7131 0.1387  6 O 1.84-1.96
O40 0.3935 0.4229 0.6685  1 P 1.56
O41 0.1700 0.8497 0.0890  1 P 1.55
O42 0.8969 0.9182 0.1554  1 P 1.54
O43 0.4203 0.2168 0.2824  1 P 1.50
O44 0.1031 0.0818 0.8446  1 P 1.54
O45 0.5680 0.7533 0.5133  1 P 1.55
O46 0.0990 0.2744 0.2109  1 P 1.56
O47 0.9320 0.2533 0.5133  1 P 1.55
Mn2 0.5000 0.5000 0.0000  6 O 2.17-2.26
P11 0.7112 0.5015 0.2397  4 O 1.50-1.56
O48 0.4320 0.2467 0.4867  1 P 1.55
P12 0.6389 0.8505 0.6100  4 O 1.50-1.55

Output
* energy above the most stable polymorph in this dataset: 0.16 eV per formula unit
* total moment: 5.00 μB/f.u.
* Fermi-level density of states: 0.0 states/eV per cell



# 6
A crystal of MnAl2Sb2P6O24 relaxed with PBEsol, computed with SCAN.

Cell: 8.5333 8.5333 8.5333 Å, 58.76 58.76 58.76°
Last column: nearest neighbours and their distance in Å.
Positions (direct):
O1 0.6508 0.0324 0.7448  1 P 1.57
O2 0.2501 0.5951 0.4046  1 P 1.54
P1 0.0416 0.7374 0.4664  4 O 1.50-1.57
O3 0.0324 0.7448 0.6508  1 P 1.57
O4 0.0169 0.9410 0.3019  1 P 1.56
P2 0.4664 0.0416 0.7374  4 O 1.50-1.57
O5 0.3019 0.0169 0.9410  1 P 1.56
P3 0.7374 0.4664 0.0416  4 O 1.50-1.57
O6 0.7448 0.6508 0.0324  1 P 1.57
Sb1 0.1408 0.1408 0.1408  6 O 1.96-1.97
P4 0.9584 0.2626 0.5336  4 O 1.50-1.57
O7 0.4049 0.5954 0.7499  1 P 1.54
O8 0.1192 0.3199 0.4901  1 P 1.50
O9 0.4901 0.1192 0.3199  1 P 1.50
O10 0.6981 0.9831 0.0590  1 P 1.56
O11 0.6801 0.5099 0.8808  1 P 1.50
O12 0.9831 0.0590 0.6981  1 P 1.56
O13 0.3199 0.4901 0.1192  1 P 1.50
O14 0.5951 0.4046 0.2501  1 P 1.54
O15 0.9410 0.3019 0.0169  1 P 1.56
O16 0.4046 0.2501 0.5951  1 P 1.54
P5 0.2626 0.5336 0.9584  4 O 1.50-1.57
O17 0.2552 0.3492 0.9676  1 P 1.57
O18 0.5099 0.8808 0.6801  1 P 1.50
O19 0.3492 0.9676 0.2552  1 P 1.57
Sb2 0.8592 0.8592 0.8592  6 O 1.96-1.97
Al1 0.6440 0.6440 0.6440  6 O 1.84-1.93
O20 0.0590 0.6981 0.9831  1 P 1.56
P6 0.5336 0.9584 0.2626  4 O 1.50-1.57
O21 0.8808 0.6801 0.5099  1 P 1.50
O22 0.5954 0.7499 0.4049  1 P 1.54
Mn1 0.5000 0.5000 0.5000  6 O 2.28
O23 0.7499 0.4049 0.5954  1 P 1.54
O24 0.9676 0.2552 0.3492  1 P 1.57
Al2 0.3560 0.3560 0.3560  6 O 1.84-1.93

Output
* energy above the most stable polymorph in this dataset: 0.00 eV per formula unit
* total moment: 5.00 μB/f.u.
* Fermi-level density of states: 0.0 states/eV per cell